DFT (PBE) results for an optimized crystal structure of AcSi2Os.

Results
The value obtained for the energy relative to the elements, uncorrected is -55 kJ per mole of atoms. The energy above the most stable polymorph in this dataset is 0 meV/atom. As for the density of states at the Fermi level: 2.4 states/eV/cell. The calculation puts the total magnetization at 0.0 μB per cell. The value obtained for the uncorrected energy is -7.120 eV/atom. The calculation puts the volume at 82.8 Å³ per cell.

Cell lengths 4.150, 4.150, 6.047 Å; angles 69.93, 69.93, 60.00 degrees
Element x y z (fractional)
Ac (0.000, 0.000, 0.000)
Os (0.500, 0.500, 0.500)
Si (0.795, 0.795, 0.614)
Si (0.205, 0.205, 0.386)

DFT (PBE) results for an optimized crystal structure of AcSiOs.

Results
The value obtained for the energy relative to the elements, uncorrected is -39 kJ per mole of atoms. The energy above the most stable polymorph in this dataset is 156 meV/atom. As for the density of states at the Fermi level: 2.8 states/eV/cell. The calculation puts the total magnetization at 0.0 μB per cell. The value obtained for the uncorrected energy is -7.327 eV/atom. The calculation puts the volume at 70.4 Å³ per cell.

Cell lengths 4.680, 4.167, 4.167 Å; angles 120.00, 90.00, 90.00 degrees
Element x y z (fractional)
Ac (0.667, 0.667, 0.333)
Os (0.167, 0.333, 0.667)
Si (0.167, 0.000, 0.000)

DFT (PBE) results for an optimized crystal structure of Ac3Si2Os.

Results
The value obtained for the energy relative to the elements, uncorrected is -43 kJ per mole of atoms. As for the density of states at the Fermi level: 20.2 states/eV/cell. The calculation puts the total magnetization at 0.0 μB per cell. The value obtained for the uncorrected energy is -6.176 eV/atom. The calculation puts the volume at 687.6 Å³ per cell.

Cell lengths 4.400, 12.483, 12.519 Å; angles 90.00, 90.00, 90.00 degrees
Element x y z (fractional)
Ac (0.250, 0.383, 0.068)
Ac (0.750, 0.617, 0.932)
Ac (0.750, 0.883, 0.432)
Ac (0.250, 0.117, 0.568)
Ac (0.250, 0.698, 0.201)
Ac (0.750, 0.302, 0.799)
Ac (0.750, 0.198, 0.299)
Ac (0.250, 0.802, 0.701)
Ac (0.250, 0.440, 0.386)
Ac (0.750, 0.560, 0.614)
Ac (0.750, 0.940, 0.114)
Ac (0.250, 0.060, 0.886)
Si (0.250, 0.683, 0.456)
Si (0.750, 0.317, 0.544)
Si (0.750, 0.183, 0.044)
Si (0.250, 0.817, 0.956)
Si (0.250, 0.016, 0.289)
Si (0.750, 0.984, 0.711)
Si (0.750, 0.516, 0.211)
Si (0.250, 0.484, 0.789)
Os (0.250, 0.143, 0.128)
Os (0.750, 0.857, 0.872)
Os (0.750, 0.643, 0.372)
Os (0.250, 0.357, 0.628)

DFT (PBE) results for an optimized crystal structure of Ac3Si3Os.

Results
The value obtained for the energy relative to the elements, uncorrected is -51 kJ per mole of atoms. As for the density of states at the Fermi level: 9.5 states/eV/cell. The calculation puts the total magnetization at 0.6 μB per cell. The value obtained for the uncorrected energy is -6.214 eV/atom. The calculation puts the volume at 362.5 Å³ per cell.

Cell lengths 4.452, 6.432, 13.677 Å; angles 85.48, 80.63, 69.75 degrees
Element x y z (fractional)
Ac (0.520, 0.341, 0.620)
Ac (0.480, 0.659, 0.380)
Ac (0.253, 0.267, 0.226)
Ac (0.747, 0.733, 0.774)
Ac (0.398, 0.285, 0.918)
Ac (0.602, 0.715, 0.082)
Si (0.832, 0.787, 0.548)
Si (0.168, 0.213, 0.452)
Si (0.096, 0.884, 0.925)
Si (0.904, 0.116, 0.075)
Si (0.932, 0.889, 0.247)
Si (0.068, 0.111, 0.753)
Os (0.762, 0.060, 0.415)
Os (0.238, 0.940, 0.585)

DFT (PBE) results for an optimized crystal structure of Ac3Si8Os3.

Results
The value obtained for the energy relative to the elements, uncorrected is -32 kJ per mole of atoms. As for the density of states at the Fermi level: 4.6 states/eV/cell. The calculation puts the total magnetization at 0.0 μB per cell. The value obtained for the uncorrected energy is -6.713 eV/atom. The calculation puts the volume at 268.5 Å³ per cell.

Cell lengths 4.197, 8.293, 8.293 Å; angles 80.40, 75.34, 75.34 degrees
Element x y z (fractional)
Ac (0.500, 0.500, 0.500)
Ac (0.804, 0.196, 0.196)
Ac (0.196, 0.804, 0.804)
Si (0.616, 0.092, 0.676)
Si (0.384, 0.908, 0.324)
Si (0.616, 0.676, 0.092)
Si (0.384, 0.324, 0.908)
Si (0.838, 0.823, 0.501)
Si (0.162, 0.177, 0.499)
Si (0.838, 0.501, 0.823)
Si (0.162, 0.499, 0.177)
Os (0.500, 0.000, 0.000)
Os (0.000, 0.793, 0.207)
Os (0.000, 0.207, 0.793)

DFT (PBE) results for an optimized crystal structure of AcSiOs.

Results
The value obtained for the energy relative to the elements, uncorrected is -34 kJ per mole of atoms. The energy above the most stable polymorph in this dataset is 214 meV/atom. As for the density of states at the Fermi level: 6.6 states/eV/cell. The calculation puts the total magnetization at 0.0 μB per cell. The value obtained for the uncorrected energy is -7.268 eV/atom. The calculation puts the volume at 128.2 Å³ per cell.

Cell lengths 3.734, 6.127, 5.883 Å; angles 90.00, 90.00, 107.74 degrees
Element x y z (fractional)
Si (0.578, 0.157, 0.750)
Si (0.422, 0.843, 0.250)
Os (0.000, 0.000, 0.500)
Os (0.000, 0.000, 0.000)
Ac (0.690, 0.379, 0.250)
Ac (0.310, 0.621, 0.750)

DFT (PBE) results for an optimized crystal structure of AcSi2Os.

Results
The value obtained for the energy relative to the elements, uncorrected is -44 kJ per mole of atoms. The energy above the most stable polymorph in this dataset is 123 meV/atom. As for the density of states at the Fermi level: 4.9 states/eV/cell. The calculation puts the total magnetization at 0.0 μB per cell. The value obtained for the uncorrected energy is -6.997 eV/atom. The calculation puts the volume at 166.6 Å³ per cell.

Cell lengths 4.363, 4.247, 9.239 Å; angles 103.29, 90.00, 90.00 degrees
Element x y z (fractional)
Ac (0.000, 0.853, 0.706)
Ac (0.000, 0.147, 0.294)
Si (0.000, 0.500, 0.000)
Si (0.500, 0.000, 0.000)
Si (0.500, 0.709, 0.419)
Si (0.500, 0.291, 0.581)
Os (0.500, 0.575, 0.149)
Os (0.500, 0.425, 0.851)

DFT (PBE) results for an optimized crystal structure of AcSi3Os.

Results
The value obtained for the energy relative to the elements, uncorrected is -36 kJ per mole of atoms. The energy above the most stable polymorph in this dataset is 203 meV/atom. As for the density of states at the Fermi level: 3.0 states/eV/cell. The calculation puts the total magnetization at 0.0 μB per cell. The value obtained for the uncorrected energy is -6.691 eV/atom. The calculation puts the volume at 220.8 Å³ per cell.

Cell lengths 5.475, 6.350, 6.350 Å; angles 90.00, 90.00, 90.00 degrees
Element x y z (fractional)
Ac (0.387, 0.286, 0.701)
Ac (0.887, 0.066, 0.201)
Si (0.326, 0.356, 0.201)
Si (0.507, 0.794, 0.913)
Si (0.007, 0.559, 0.413)
Si (0.826, 0.997, 0.701)
Si (0.007, 0.559, 0.989)
Si (0.507, 0.794, 0.489)
Os (0.151, 0.765, 0.701)
Os (0.651, 0.587, 0.201)